AlP2PdCl | PBE | optimized geometry

Geometry as POSCAR:
```
AlP2PdCl
1.0
4.681 0.000 0.000
0.000 4.681 0.000
0.000 0.000 4.533
Al P Pd Cl
1 2 1 1
Cartesian
0.000 0.000 0.000
0.000 2.340 0.000
2.340 0.000 0.000
2.340 2.340 2.267
0.000 0.000 2.267
```

Output
For the density of states at the Fermi level, the calculation gives 0.631 states/eV/atom. For the magnetic moment, the calculation gives 0.00 μB/atom. The final energy is -19.143 eV per cell. The energy above the lowest structure with this stoichiometry comes out at 0 meV per atom.

La2AlZn7 | PBE | optimized geometry

Geometry as POSCAR:
```
La2AlZn7
1.0
4.361 0.000 0.000
0.000 4.361 0.000
0.000 0.000 10.484
La Al Zn
2 1 7
Cartesian
0.000 2.181 2.579
2.181 0.000 7.905
0.000 0.000 5.242
0.000 0.000 0.000
0.000 2.181 6.649
0.000 2.181 9.134
2.181 0.000 1.350
2.181 0.000 3.835
2.181 2.181 0.000
2.181 2.181 5.242
```

Output
For the density of states at the Fermi level, the calculation gives 0.823 states/eV/atom. For the magnetic moment, the calculation gives 0.00 μB/atom. The final energy is -26.001 eV per cell.

MnBeRh | PBE | optimized geometry

Geometry as POSCAR:
```
MnBeRh
1.0
1.929 -6.146 0.000
1.929 6.146 0.000
0.000 0.000 2.787
Mn Be Rh
2 2 2
Cartesian
0.000 0.000 0.000
1.929 0.000 1.393
1.929 4.184 1.393
1.929 -4.184 1.393
1.929 2.094 0.000
1.929 -2.094 0.000
```

Output
For the density of states at the Fermi level, the calculation gives 0.971 states/eV/atom. For the magnetic moment, the calculation gives 0.37 μB/atom. The final energy is -42.067 eV per cell. The energy above the lowest structure with this stoichiometry comes out at 80 meV per atom.

Pu4BiRu2 | PBE | optimized geometry

Geometry as POSCAR:
```
Pu4BiRu2
1.0
-4.380 4.380 4.387
4.380 -4.380 4.387
4.380 4.380 -4.387
Pu Bi Ru
8 2 4
Cartesian
2.954 -0.662 0.713
5.807 0.662 0.713
3.718 2.954 -1.481
5.042 -1.427 3.674
0.662 1.427 2.906
3.718 1.427 3.674
1.427 -0.662 5.868
2.954 5.042 1.481
0.000 0.000 0.000
0.000 4.380 2.194
2.190 -1.257 3.290
3.123 2.190 1.097
2.190 5.637 -1.097
1.257 2.190 5.484
```

Output
For the density of states at the Fermi level, the calculation gives 3.198 states/eV/atom. For the magnetic moment, the calculation gives 2.98 μB/atom. The final energy is -160.448 eV per cell.

GeSb3S | PBE | optimized geometry

Geometry as POSCAR:
```
GeSb3S
1.0
5.213 0.000 0.000
0.000 5.213 0.000
0.000 0.000 5.213
Ge Sb S
1 3 1
Cartesian
0.000 0.000 0.000
0.000 2.606 2.606
2.606 0.000 2.606
2.606 2.606 0.000
2.606 2.606 2.606
```

Output
For the density of states at the Fermi level, the calculation gives 0.637 states/eV/atom. For the magnetic moment, the calculation gives 0.00 μB/atom. The final energy is -18.031 eV per cell. The energy above the lowest structure with this stoichiometry comes out at 0 meV per atom.

PrSmTm2 | PBE | optimized geometry

Geometry as POSCAR:
```
PrSmTm2
1.0
1.793 1.035 11.571
-1.793 1.035 11.571
0.000 -2.070 11.571
Pr Sm Tm
1 1 2
Cartesian
0.000 0.000 0.000
0.000 0.000 17.356
0.000 0.000 8.653
0.000 0.000 26.058
```

Output
For the density of states at the Fermi level, the calculation gives 1.102 states/eV/atom. For the magnetic moment, the calculation gives 0.00 μB/atom. The final energy is -18.364 eV per cell. The energy above the lowest structure with this stoichiometry comes out at 1 meV per atom.

ErTm2Cu6 | PBE | optimized geometry

Geometry as POSCAR:
```
ErTm2Cu6
1.0
7.299 0.000 0.000
-3.649 6.321 0.000
0.000 0.000 3.478
Er Tm Cu
1 2 6
Cartesian
0.000 0.000 0.000
0.000 4.214 0.000
3.649 2.107 0.000
-1.218 2.109 1.739
-2.432 4.212 1.739
2.435 0.000 1.739
1.218 2.109 1.739
4.863 0.000 1.739
2.432 4.212 1.739
```

Output
For the density of states at the Fermi level, the calculation gives 0.574 states/eV/atom. For the magnetic moment, the calculation gives 0.00 μB/atom. The final energy is -40.474 eV per cell.

AcLaCdAu | PBE | optimized geometry

Geometry as POSCAR:
```
AcLaCdAu
1.0
0.000 3.926 3.926
3.926 0.000 3.926
3.926 3.926 0.000
Ac La Cd Au
1 1 1 1
Cartesian
0.000 0.000 0.000
3.926 3.926 3.926
1.963 1.963 1.963
5.889 5.889 5.889
```

Output
For the density of states at the Fermi level, the calculation gives 0.812 states/eV/atom. For the magnetic moment, the calculation gives 0.00 μB/atom. The final energy is -15.247 eV per cell. The energy above the lowest structure with this stoichiometry comes out at 40 meV per atom.

CaSm2Ga | PBE | optimized geometry

Geometry as POSCAR:
```
CaSm2Ga
1.0
3.668 0.000 0.000
0.000 3.668 0.000
0.000 0.000 9.299
Ca Sm Ga
1 2 1
Cartesian
0.000 0.000 0.000
1.834 1.834 2.886
1.834 1.834 6.413
0.000 0.000 4.650
```

Output
For the density of states at the Fermi level, the calculation gives 1.034 states/eV/atom. For the magnetic moment, the calculation gives 0.00 μB/atom. The final energy is -15.380 eV per cell. The energy above the lowest structure with this stoichiometry comes out at 0 meV per atom.

La4Zn | PBE | optimized geometry

Geometry as POSCAR:
```
La4Zn
1.0
-3.561 3.561 3.561
3.561 -3.561 3.561
3.561 3.561 -3.561
La Zn
4 1
Cartesian
1.780 1.780 -1.780
1.780 -1.780 1.780
-1.780 1.780 1.780
1.780 1.780 1.780
0.000 0.000 0.000
```

Output
For the density of states at the Fermi level, the calculation gives 1.648 states/eV/atom. For the magnetic moment, the calculation gives 0.25 μB/atom. The final energy is -19.824 eV per cell. The energy above the lowest structure with this stoichiometry comes out at 355 meV per atom.

Ac2Mg3Sn2 | PBE | optimized geometry

Geometry as POSCAR:
```
Ac2Mg3Sn2
1.0
2.193 -11.159 0.000
2.193 11.159 0.000
0.000 0.000 4.730
Ac Mg Sn
2 3 2
Cartesian
2.193 7.477 0.000
2.193 -7.477 0.000
0.000 0.000 0.000
2.193 1.498 2.365
2.193 -1.498 2.365
2.193 4.595 2.365
2.193 -4.595 2.365
```

Output
For the density of states at the Fermi level, the calculation gives 0.536 states/eV/atom. For the magnetic moment, the calculation gives 0.00 μB/atom. The final energy is -22.699 eV per cell.

Tb3Pm8Sm4 | PBE | optimized geometry

Geometry as POSCAR:
```
Tb3Pm8Sm4
1.0
3.524 2.034 11.993
-3.524 2.034 11.993
0.000 -4.069 11.993
Tb Pm Sm
3 8 4
Cartesian
-1.762 -1.017 11.993
-1.762 1.017 23.986
0.000 2.034 11.993
0.000 -2.024 14.963
-1.753 1.012 14.963
-1.753 -1.012 21.016
0.000 0.000 9.145
0.000 0.000 26.834
1.753 1.012 14.963
1.753 -1.012 21.016
0.000 2.024 21.016
0.000 0.000 0.000
0.000 0.000 5.897
0.000 0.000 17.989
0.000 0.000 30.082
```

Output
For the density of states at the Fermi level, the calculation gives 1.649 states/eV/atom. For the magnetic moment, the calculation gives 0.00 μB/atom. The final energy is -68.822 eV per cell. The energy above the lowest structure with this stoichiometry comes out at 0 meV per atom.

PmDy2Er2Mg5 | PBE | optimized geometry

Geometry as POSCAR:
```
PmDy2Er2Mg5
1.0
10.579 0.000 0.000
0.000 10.579 0.000
0.000 0.000 5.104
Pm Dy Er Mg
2 4 4 10
Cartesian
0.000 0.000 0.000
5.289 5.289 0.000
1.883 3.406 0.000
3.406 8.695 0.000
7.173 1.883 0.000
8.695 7.173 0.000
1.248 6.538 0.000
4.041 1.248 0.000
6.538 9.330 0.000
9.330 4.041 0.000
0.000 5.289 2.552
0.799 8.482 2.552
2.096 0.799 2.552
3.193 6.088 2.552
4.490 3.193 2.552
5.289 0.000 2.552
6.088 7.385 2.552
7.385 4.490 2.552
8.482 9.780 2.552
9.780 2.096 2.552
```

Output
For the density of states at the Fermi level, the calculation gives 0.919 states/eV/atom. For the magnetic moment, the calculation gives 0.00 μB/atom. The final energy is -60.627 eV per cell.